1.
Below is crystalline KHgH2Cl3O at its relaxed geometry, with properties calculated at the GGA-PBE level.

## Properties
Its total energy is -3.43 eV per atom. The crystal system is orthorhombic.

The structure in POSCAR format:
```
KHgH2Cl3O
1.0
-0.671 -4.094 1.568
-2.937 -2.482 -7.739
17.242 -4.748 -5.021
K Hg H Cl O
4 4 8 12 4
direct
0.250 0.927 0.185 K
0.750 0.073 0.815 K
0.750 0.573 0.685 K
0.250 0.427 0.315 K
0.250 0.562 0.898 Hg
0.750 0.438 0.102 Hg
0.750 0.938 0.398 Hg
0.250 0.062 0.602 Hg
0.250 0.617 0.553 H
0.750 0.383 0.447 H
0.750 0.883 0.053 H
0.250 0.117 0.947 H
0.250 0.937 0.941 H
0.750 0.063 0.059 H
0.750 0.563 0.441 H
0.250 0.437 0.559 H
0.250 0.695 0.013 Cl
0.750 0.305 0.987 Cl
0.750 0.805 0.513 Cl
0.250 0.195 0.487 Cl
0.250 0.868 0.697 Cl
0.750 0.132 0.303 Cl
0.750 0.632 0.197 Cl
0.250 0.368 0.803 Cl
0.250 0.785 0.345 Cl
0.750 0.215 0.655 Cl
0.750 0.715 0.845 Cl
0.250 0.285 0.155 Cl
0.250 0.532 0.588 O
0.750 0.468 0.412 O
0.750 0.968 0.088 O
0.250 0.032 0.912 O
```

=====

2.
Below is crystalline SmHoTe2 at its relaxed geometry, with properties calculated at the GGA-PBE level.

## Properties
For the formation energy from raw total energies, the calculation gives -115.2 kJ per mole of atoms. Its total energy is -5.09 eV per atom. The crystal system is cubic.

The structure in POSCAR format:
```
SmHoTe2
1.0
-2.566 1.436 4.511
2.104 -1.229 4.801
2.024 3.888 3.127
Te Ho Sm
2 1 1
direct
0.250 0.250 0.250 Te
0.750 0.750 0.750 Te
0.500 0.500 0.500 Ho
0.000 0.000 0.000 Sm
```

=====

3.
Below is crystalline Tb4Cu2Ru at its relaxed geometry, with properties calculated at the GGA-PBE level.

## Properties
Its total energy is -5.33 eV per atom. The crystal system is trigonal. The calculation puts the formation enthalpy at 0 K at -1.31 eV per formula unit.

The structure in POSCAR format:
```
Tb4Cu2Ru
1.0
4.664 0.000 1.457
2.105 4.163 1.457
-0.077 -0.047 8.441
Ru Tb Cu
1 4 2
direct
0.000 0.000 0.000 Ru
0.878 0.878 0.367 Tb
0.122 0.122 0.633 Tb
0.626 0.626 0.122 Tb
0.374 0.374 0.878 Tb
0.750 0.750 0.751 Cu
0.250 0.250 0.249 Cu
```

=====

4.
Below is crystalline La2CoHgN at its relaxed geometry, with properties calculated at the GGA-PBE level.

## Properties
For the formation energy from raw total energies, the calculation gives -62.7 kJ per mole of atoms. Its total energy is -5.77 eV per atom. The crystal system is tetragonal.

The structure in POSCAR format:
```
La2CoHgN
1.0
-2.063 -2.049 -4.563
1.668 -3.172 0.670
-4.346 -1.709 2.732
N Co Hg La
1 1 1 2
direct
0.000 0.000 0.000 N
0.000 0.500 0.000 Co
0.500 0.500 0.500 Hg
0.000 0.000 0.500 La
0.500 0.000 0.000 La
```

=====

5.
Below is crystalline Ta2FePt at its relaxed geometry, with properties calculated at the GGA-PBE level.

## Properties
Its total energy is -9.78 eV per atom. The crystal system is tetragonal. The calculation puts the formation enthalpy at 0 K at -0.92 eV per formula unit.

The structure in POSCAR format:
```
Ta2FePt
1.0
-0.590 2.875 4.032
2.521 -1.622 3.986
1.192 0.874 -4.763
Fe Pt Ta
1 1 2
direct
0.500 0.500 0.000 Fe
0.750 0.250 0.500 Pt
0.000 0.000 0.000 Ta
0.250 0.750 0.500 Ta
```

=====

6.
Below is crystalline Ti2ZnBiP at its relaxed geometry, with properties calculated at the GGA-PBE level.

## Properties
Its total energy is -4.08 eV per atom. The crystal system is tetragonal. The calculation puts the formation enthalpy at 0 K at 5.95 eV per formula unit.

The structure in POSCAR format:
```
Ti2ZnBiP
1.0
5.298 0.000 0.000
0.000 4.975 0.000
0.000 0.000 5.298
P Zn Bi Ti
1 1 1 2
direct
0.500 0.500 0.500 P
0.000 0.500 0.000 Zn
0.000 0.000 0.000 Bi
0.000 0.000 0.500 Ti
0.500 0.000 0.000 Ti
```

=====

7.
Below is crystalline CeTePd6 at its relaxed geometry, with properties calculated at the GGA-PBE level.

## Properties
For the formation energy from raw total energies, the calculation gives -49.2 kJ per mole of atoms. Its total energy is -5.54 eV per atom. The crystal system is tetragonal.

The structure in POSCAR format:
```
CeTePd6
1.0
-1.373 -3.907 0.087
-0.053 -0.073 -4.141
7.717 -2.712 -0.052
Ce Te Pd
1 1 6
direct
0.000 0.000 0.500 Ce
0.000 0.000 0.000 Te
0.500 0.500 0.000 Pd
0.500 0.500 0.500 Pd
0.500 0.000 0.253 Pd
0.500 0.000 0.747 Pd
0.000 0.500 0.253 Pd
0.000 0.500 0.747 Pd
```

=====

8.
Below is crystalline KNa2Se at its relaxed geometry, with properties calculated at the GGA-PBE level.

## Properties
For the formation energy from raw total energies, the calculation gives -65.5 kJ per mole of atoms. Its total energy is -2.48 eV per atom. The crystal system is trigonal.

The structure in POSCAR format:
```
KNa2Se
1.0
-1.821 1.103 -4.276
-3.327 -2.802 -1.974
-7.506 3.781 1.504
K Na Se
1 2 1
direct
0.513 0.513 0.462 K
0.037 0.037 0.889 Na
0.293 0.293 0.122 Na
0.657 0.657 0.028 Se
```

=====

Number 1: spin magnetization 0.0 μB/f.u.. Number 2: spin magnetization 1.1 μB/f.u.. Number 3: spin magnetization 0.0 μB/f.u.. Number 4: spin magnetization 0.0 μB/f.u.. Number 5: spin magnetization 0.0 μB/f.u.. Number 6: spin magnetization 3.5 μB/f.u.. Number 7: spin magnetization 0.0 μB/f.u.. Number 8: spin magnetization 0.0 μB/f.u..